Computed, not measured: a geometry-optimized KVBiF6 structure at the PBE with a Hubbard U level of DFT.

abc: 4.760 5.986 5.990
angles: 60.12 89.94 89.86
Space group P1 (No. 1)
Symmetry-distinct sites (fractional):
K  0.000  0.000  0.000 x1
V  0.388  0.334  0.333 x1
Bi  0.497  0.667  0.666 x1
F  0.181  0.598  0.428 x1
F  0.181  0.975  0.597 x1
F  0.182  0.429  0.974 x1
F  0.608  0.290  0.658 x1
F  0.608  0.658  0.052 x1
F  0.609  0.052  0.290 x1

The calculation puts the raw total energy at -47.025 eV/cell. The calculation puts the volume at 16.444 Å³ per atom. The total magnetic moment is 3.0 μB/f.u.